## one
DFT (PBE) results for an optimized crystal structure of MnCuW.

Summary:
N(E_F) (states/eV per atom): 0.69

Unit cell a=3.732 b=3.749 c=11.711 alpha=90.00 beta=90.00 gamma=90.00
Space group Fmm2 (No. 42)
Inequivalent atoms, fractional coordinates:
1 Mn 0.000 0.000 0.000 (multiplicity 4)
2 Cu 0.000 0.000 0.344 (multiplicity 4)
3 W 0.000 0.000 0.673 (multiplicity 4)

---

## two
DFT (PBE) results for an optimized crystal structure of MnCuW.

Summary:
N(E_F) (states/eV per atom): 0.50

Unit cell a=4.2091 b=4.2091 c=2.5670 alpha=90.00 beta=90.00 gamma=120.00
Space group P3m1 (No. 156)
Inequivalent atoms, fractional coordinates:
1 Mn 0.0000 0.0000 0.0000 (multiplicity 1)
2 Cu 0.3333 0.6667 0.6773 (multiplicity 1)
3 W 0.6667 0.3333 0.2773 (multiplicity 1)

---

Which one is most stable, and which one is least stable? two is the most stable of them, while one is the least stable.

---

## one
DFT (PBE) results for an optimized crystal structure of MnZn3Cu.

Summary:
N(E_F) (states/eV per atom): 0.70

Unit cell a=8.1606 b=8.1606 c=4.8571 alpha=90.00 beta=90.00 gamma=120.00
Space group R3m (No. 160, hexagonal axes)
Inequivalent atoms, fractional coordinates:
1 Mn 0.0000 0.0000 0.0000 (multiplicity 3)
2 Zn 0.0080 0.5040 0.4648 (multiplicity 9)
3 Cu 0.0000 0.0000 0.4988 (multiplicity 3)

---

## two
DFT (PBE) results for an optimized crystal structure of MnZn3Cu.

Summary:
N(E_F) (states/eV per atom): 0.63

Unit cell a=4.529 b=4.529 c=4.529 alpha=90.00 beta=90.00 gamma=90.00
Space group Pm-3m (No. 221)
Inequivalent atoms, fractional coordinates:
1 Mn 0.000 0.000 0.000 (multiplicity 1)
2 Zn 0.000 0.500 0.500 (multiplicity 3)
3 Cu 0.500 0.500 0.500 (multiplicity 1)

---

Which one is most stable, and which one is least stable? one is the most stable of them, while two is the least stable.

---

## one
DFT (PBE) results for an optimized crystal structure of MnZn4Cu.

Summary:
N(E_F) (states/eV per atom): 0.30

Unit cell a=2.746 b=2.746 c=10.964 alpha=90.00 beta=90.00 gamma=90.00
Space group P4/mmm (No. 123)
Inequivalent atoms, fractional coordinates:
1 Mn 0.000 0.000 0.000 (multiplicity 1)
2 Zn 0.000 0.000 0.341 (multiplicity 2)
3 Zn 0.500 0.500 0.163 (multiplicity 2)
4 Cu 0.500 0.500 0.500 (multiplicity 1)

---

## two
DFT (PBE) results for an optimized crystal structure of MnZn4Cu.

Summary:
N(E_F) (states/eV per atom): 0.58

Unit cell a=7.035 b=7.035 c=7.035 alpha=90.00 beta=90.00 gamma=90.00
Space group F-43m (No. 216)
Inequivalent atoms, fractional coordinates:
1 Mn 0.000 0.000 0.000 (multiplicity 4)
2 Zn 0.125 0.125 0.625 (multiplicity 16)
3 Cu 0.250 0.250 0.250 (multiplicity 4)

---

## three
DFT (PBE) results for an optimized crystal structure of MnZn4Cu.

Summary:
N(E_F) (states/eV per atom): 0.56

Unit cell a=8.407 b=2.727 c=8.524 alpha=90.00 beta=116.06 gamma=90.00
Space group C2/m (No. 12)
Inequivalent atoms, fractional coordinates:
1 Mn 0.000 0.000 0.000 (multiplicity 2)
2 Zn 0.156 0.500 0.838 (multiplicity 4)
3 Zn 0.158 0.000 0.345 (multiplicity 4)
4 Cu 0.000 0.500 0.500 (multiplicity 2)

---

Which one is most stable, and which one is least stable? one is the most stable of them, while two is the least stable.